Material: GaGe2W
Method: DFT, GGA-PBE
State: relaxed

Output
E_form, eV/atom: 0.2109

a b c (Å): 2.9625 2.9625 28.1492
angles (deg): 90.00 90.00 120.00
Closest atoms and distances in Å follow each position.
Space group R-3m (No. 166, hexagonal axes)
Symmetry-distinct sites (fractional):
Ga  0.0000  0.0000  0.0000  2 Ge 2.64
Ge  0.0000  0.0000  0.0938  1 Ga 2.64, 3 W 2.67
W  0.0000  0.0000  0.5000  6 Ge 2.67, 6 W 2.96

Material: GaGeW2
Method: DFT, GGA-PBE
State: relaxed

Output
E_form, eV/atom: 0.8117
Energy above the lowest structure with this stoichiometry, meV per atom: 382.4

a b c (Å): 7.0801 7.0801 5.4353
angles (deg): 90.00 90.00 90.00
Closest atoms and distances in Å follow each position.
Space group I-42d (No. 122)
Symmetry-distinct sites (fractional):
Ga  0.0000  0.0000  0.0000  4 W 2.70, 2 Ge 2.72
Ge  0.0000  0.0000  0.5000  4 W 2.49, 2 Ga 2.72
W  0.2286  0.2500  0.6250  2 Ge 2.49, 2 Ga 2.70, 2 W 2.73

Material: Ga3GeW
Method: DFT, GGA-PBE
State: relaxed

Output
E_form, eV/atom: 1.3599
Energy above the lowest structure with this stoichiometry, meV per atom: 654.2

a b c (Å): 4.8217 4.8217 4.8217
angles (deg): 90.00 90.00 90.00
Closest atoms and distances in Å follow each position.
Space group Pm-3m (No. 221)
Symmetry-distinct sites (fractional):
Ga  0.0000  0.0000  0.5000  2 Ge 2.41
Ge  0.0000  0.0000  0.0000  6 Ga 2.41
W  0.5000  0.5000  0.5000  12 Ga 3.41

Material: Y3Ga4Ge2
Method: DFT, GGA-PBE
State: relaxed

Output
E_form, eV/atom: -0.6565

a b c (Å): 11.0570 4.1848 8.3540
angles (deg): 90.00 100.49 90.00
Closest atoms and distances in Å follow each position.
Space group C2/m (No. 12)
Symmetry-distinct sites (fractional):
Y  0.0000  0.0000  0.0000  6 Ga 2.99-3.03
Y  0.1679  0.5000  0.6672  3 Ga 2.98-3.00, 3 Ge 3.02-3.03
Ga  0.0268  0.0000  0.3631  1 Ga 2.46, 2 Ge 2.50
Ga  0.2010  0.5000  0.0314  2 Ga 2.46, 1 Ge 2.49
Ge  0.1327  0.5000  0.2995  3 Ga 2.49-2.50

Material: Y3GaGe
Method: DFT, GGA-PBE
State: relaxed

Output
E_form, eV/atom: -0.2056
Energy above the lowest structure with this stoichiometry, meV per atom: 369.1

a b c (Å): 5.3829 5.3829 5.3829
angles (deg): 90.00 90.00 90.00
Closest atoms and distances in Å follow each position.
Space group Pm-3m (No. 221)
Symmetry-distinct sites (fractional):
Y  0.0000  0.0000  0.5000  2 Ge 2.69
Ga  0.5000  0.5000  0.5000  12 Y 3.81
Ge  0.0000  0.0000  0.0000  6 Y 2.69

Material: Y3Ga2Ge
Method: DFT, GGA-PBE
State: relaxed

Output
E_form, eV/atom: -0.6670

a b c (Å): 11.8980 4.0955 11.9160
angles (deg): 90.00 90.00 90.00
Closest atoms and distances in Å follow each position.
Space group Pnma (No. 62)
Symmetry-distinct sites (fractional):
Y  0.0585  0.2500  0.1228  5 Ga 2.96-3.26, 1 Ge 3.08
Y  0.1179  0.7500  0.5551  3 Ge 3.01-3.10, 5 Ga 3.04-3.21
Y  0.2102  0.2500  0.7932  3 Ga 2.90-3.20, 2 Ge 2.93
Ga  0.0120  0.7500  0.3074  2 Ge 2.61, 1 Y 2.90
Ga  0.1871  0.7500  0.9981  1 Ge 2.64
Ge  0.1317  0.2500  0.3708  3 Ga 2.61-2.64